No. 1
Density functional theory data (PBE-GGA) for Ac2ScAlS6 after structural relaxation.

Results
magnetization	0.000	μB per formula unit
DOS(E_F)	0.0	states/eV/f.u.
raw formation energy	-1859	meV per atom
theoretical density	5.2	g cm⁻³
raw total energy	-0.4531	Ry/atom

Structure (extended XYZ):
```
20
Lattice="6.6776 0.0000 -0.0051 0.0000 7.1085 0.0000 0.0537 0.0000 9.6165" Properties=species:S:1:pos:R:3 pbc="T T T"
S 1.2841 1.4388 4.3733
S 2.0187 4.8941 4.3798
S 5.3844 5.7688 9.1855
S 1.3470 1.3398 0.4258
S 2.7962 7.0341 7.2843
S 0.6233 3.4798 7.1379
S 5.4472 5.6697 5.2380
S 2.0815 4.9931 0.4324
S 3.9352 0.0745 2.3270
S 4.7127 2.2145 5.2315
S 6.1081 3.6287 2.4735
S 4.6498 2.1154 9.1790
Ac 0.1731 6.5211 2.4201
Ac 3.5388 4.1417 7.2258
Ac 6.5583 0.5874 7.1912
Ac 3.1926 2.9668 2.3856
Sc 3.3657 0.0000 4.8057
Sc 0.0000 3.5543 0.0000
Al 0.0269 3.5543 4.8082
Al 3.3388 0.0000 -0.0026
```

No. 2
Density functional theory data (PBE-GGA) for Pm6In2O after structural relaxation.

Results
magnetization	0.400	μB per formula unit
DOS(E_F)	10.5	states/eV/f.u.
raw formation energy	-630	meV per atom
theoretical density	7.1	g cm⁻³
raw total energy	-0.3643	Ry/atom
excess energy over the best structure of this formula in the dataset	1.91	eV/f.u.

Structure (extended XYZ):
```
9
Lattice="3.5960 0.0000 0.0000 0.0000 9.6363 0.0000 0.0000 -4.8181 7.4974" Properties=species:S:1:pos:R:3 pbc="T T T"
O 1.7980 0.6388 0.0000
Pm 1.7980 6.6813 3.9423
Pm 0.0000 -0.8616 1.7453
Pm 0.0000 2.0864 0.0000
Pm 0.0000 3.9566 5.7521
Pm 1.7980 1.8631 3.5550
Pm 1.7980 5.8818 0.0000
In 0.0000 -0.4868 5.1210
In 0.0000 4.3314 2.3764
```

No. 3
Density functional theory data (PBE-GGA) for Rb2NbAgSe4 after structural relaxation.

Results
magnetization	0.000	μB per formula unit
DOS(E_F)	0.0	states/eV/f.u.
raw formation energy	-941	meV per atom
theoretical density	4.2	g cm⁻³
raw total energy	-0.3337	Ry/atom
excess energy over the best structure of this formula in the dataset	0.00	eV/f.u.

Structure (extended XYZ):
```
16
Lattice="14.3421 0.0051 -0.0025 10.7700 6.9249 0.0047 3.5721 -4.1950 5.5032" Properties=species:S:1:pos:R:3 pbc="T T T"
Se 14.8541 3.7321 3.0889
Se 6.6591 -0.3185 3.7954
Se 12.3805 1.2582 1.3013
Se 16.3037 0.2804 1.7848
Se 13.8301 0.1991 4.8359
Se 22.0251 3.2195 2.0460
Se 8.7815 -3.7867 5.0923
Se 19.9027 6.3555 0.0772
Rb 10.4565 -0.6394 3.7451
Rb 18.2277 3.3743 1.7604
Rb 17.6275 0.0443 5.1214
Rb 25.3987 4.0580 3.1368
Ag 0.0000 0.0000 0.0000
Ag 7.1710 0.6837 1.3764
Nb 14.3421 1.3675 2.7527
Nb 21.5131 2.0512 4.1291
```

No. 4
Density functional theory data (PBE-GGA) for Nb2CrNi9 after structural relaxation.

Results
magnetization	2.934	μB per formula unit
DOS(E_F)	17.8	states/eV/f.u.
theoretical density	8.4	g cm⁻³
raw total energy	-0.5033	Ry/atom

Structure (extended XYZ):
```
12
Lattice="4.6105 0.0005 1.0736 2.1807 4.0621 1.0729 0.5057 0.3031 8.2591" Properties=species:S:1:pos:R:3 pbc="T T T"
Ni 4.3641 2.6105 7.4093
Ni 4.5256 2.7079 1.4385
Ni 2.9328 1.7553 2.9964
Ni 3.2604 0.5542 6.8641
Ni 2.7713 1.6579 8.9671
Ni 2.0301 2.6108 6.8646
Ni 4.0365 3.8116 3.5416
Ni 3.6485 2.1829 5.2028
Ni 5.2668 1.7550 3.5411
Nb 1.2312 0.7367 5.1497
Nb 6.0657 3.6291 5.2560
Cr 4.6105 0.0005 1.0736
```

> Which formula does entry 2 have?

Pm6In2O